[1]
The following is a DFT calculation (SCAN) of Na2CaMoAs at its PBEsol-relaxed geometry.

Output
As for the formation enthalpy at 0 K: 1.52 eV/atom. The value obtained for the calculated volume is 25.17 A^3/atom. As for the total energy: -13.109 eV/atom. For the magnetization, the calculation gives 2.223 Bohr magnetons per cell.

```
Na2CaMoAs
1.0
4.814 0.000 0.000
0.000 5.113 0.000
0.000 0.000 5.113
Na Mo Ca As
2 1 1 1
Direct
0.000 0.000 0.500 Na
0.000 0.500 0.000 Na
0.500 0.000 0.000 Mo
0.000 0.000 0.000 Ca
0.500 0.500 0.500 As
```

[2]
The following is a DFT calculation (SCAN) of CaMoAs2S at its PBEsol-relaxed geometry.

Output
As for the uncorrected formation energy: 0.2806 eV/atom. The value obtained for the calculated volume is 21.55 A^3/atom. As for the total energy: -18.631 eV/atom. For the magnetization, the calculation gives 1.284 Bohr magnetons per cell.

```
CaMoAs2S
1.0
4.332 0.000 0.000
0.000 4.988 0.000
0.000 0.000 4.988
S As Mo Ca
1 2 1 1
Direct
0.000 0.000 0.000 S
0.000 0.000 0.500 As
0.000 0.500 0.000 As
0.500 0.000 0.000 Mo
0.500 0.500 0.500 Ca
```

[3]
The following is a DFT calculation (SCAN) of CaAs2N at its PBEsol-relaxed geometry.

Output
As for the uncorrected formation energy: 0.0455 eV/atom. The value obtained for the calculated volume is 18.94 A^3/atom. As for the total energy: -14.789 eV/atom. For the magnetization, the calculation gives 0.000 Bohr magnetons per cell.

```
CaAs2N
1.0
-4.304 -2.083 3.342
0.781 -3.122 -4.866
5.209 -0.273 2.613
As N Ca
4 2 2
Direct
0.615 0.375 0.490 As
0.385 0.875 0.760 As
0.115 0.240 0.625 As
0.885 0.510 0.125 As
0.500 0.250 0.750 N
0.000 0.500 0.500 N
0.500 0.750 0.250 Ca
0.000 0.000 0.000 Ca
```

[4]
The following is a DFT calculation (SCAN) of CaAs3N at its PBEsol-relaxed geometry.

Output
As for the uncorrected formation energy: 0.2215 eV/atom. The value obtained for the calculated volume is 17.45 A^3/atom. As for the total energy: -15.684 eV/atom. For the magnetization, the calculation gives 0.000 Bohr magnetons per cell.

```
CaAs3N
1.0
-3.079 -2.758 -1.608
-1.534 -0.682 4.106
-2.800 3.406 -0.481
As Ca N
3 1 1
Direct
0.000 0.500 0.000 As
0.000 0.000 0.500 As
0.500 0.000 0.000 As
0.500 0.500 0.500 Ca
0.000 0.000 0.000 N
```

[5]
The following is a DFT calculation (SCAN) of CaAsN2O at its PBEsol-relaxed geometry.

Output
As for the uncorrected formation energy: 1.2753 eV/atom. The value obtained for the calculated volume is 16.10 A^3/atom. As for the total energy: -9.658 eV/atom. For the magnetization, the calculation gives 2.999 Bohr magnetons per cell.

```
CaAsN2O
1.0
-2.111 -3.398 -1.112
3.620 -2.439 0.578
-1.126 -0.676 4.203
As N O Ca
1 2 1 1
Direct
0.500 0.500 0.500 As
0.000 0.000 0.500 N
0.000 0.500 0.000 N
0.500 0.000 0.000 O
0.000 0.000 0.000 Ca
```

[6]
The following is a DFT calculation (SCAN) of CaAsSe2N at its PBEsol-relaxed geometry.

Output
As for the uncorrected formation energy: -0.1770 eV/atom. The value obtained for the calculated volume is 19.65 A^3/atom. As for the total energy: -16.037 eV/atom. For the magnetization, the calculation gives 0.762 Bohr magnetons per cell.

```
CaAsSe2N
1.0
3.692 0.000 0.000
0.000 5.159 0.000
0.000 0.000 5.159
Ca As Se N
1 1 2 1
Direct
0.500 0.500 0.500 Ca
0.000 0.000 0.000 As
0.000 0.000 0.500 Se
0.000 0.500 0.000 Se
0.500 0.000 0.000 N
```

[7]
The following is a DFT calculation (SCAN) of Na3CaAs at its PBEsol-relaxed geometry.

Output
As for the formation enthalpy at 0 K: -0.10 eV/atom. The value obtained for the calculated volume is 34.70 A^3/atom. As for the total energy: -8.603 eV/atom. For the magnetization, the calculation gives 0.000 Bohr magnetons per cell.

```
Na3CaAs
1.0
5.578 0.000 0.000
0.000 5.578 0.000
0.000 0.000 5.578
Na As Ca
3 1 1
Direct
0.000 0.000 0.500 Na
0.000 0.500 0.000 Na
0.500 0.000 0.000 Na
0.000 0.000 0.000 As
0.500 0.500 0.500 Ca
```

[8]
The following is a DFT calculation (SCAN) of NaCa2As at its PBEsol-relaxed geometry.

Output
As for the formation enthalpy at 0 K: -0.42 eV/atom. The value obtained for the calculated volume is 33.44 A^3/atom. As for the total energy: -11.355 eV/atom. For the magnetization, the calculation gives 0.827 Bohr magnetons per cell.

```
NaCa2As
1.0
-1.381 -6.590 -2.205
0.641 1.289 6.937
-5.632 3.793 -2.024
As Na Ca
2 2 4
Direct
0.000 0.000 0.000 As
0.250 0.750 0.500 As
0.500 0.500 0.000 Na
0.750 0.250 0.500 Na
0.945 0.375 0.070 Ca
0.125 0.055 0.430 Ca
0.305 0.875 0.930 Ca
0.625 0.695 0.570 Ca
```

[9]
The following is a DFT calculation (SCAN) of NaCaAs2 at its PBEsol-relaxed geometry.

Output
As for the formation enthalpy at 0 K: -0.55 eV/atom. The value obtained for the calculated volume is 21.87 A^3/atom. As for the total energy: -14.113 eV/atom. For the magnetization, the calculation gives 0.000 Bohr magnetons per cell.

```
NaCaAs2
1.0
4.983 0.000 0.000
2.492 4.316 0.000
2.492 1.439 4.069
As Na Ca
2 1 1
Direct
0.750 0.750 0.750 As
0.250 0.250 0.250 As
0.000 0.000 0.000 Na
0.500 0.500 0.500 Ca
```

[10]
The following is a DFT calculation (SCAN) of NaCaAsO4 at its PBEsol-relaxed geometry.

Output
The value obtained for the energy above the most stable polymorph in this dataset is 0 meV per atom. As for the uncorrected formation energy: -2.3061 eV/atom. The value obtained for the calculated volume is 14.29 A^3/atom. As for the total energy: -10.734 eV/atom. For the magnetization, the calculation gives 0.000 Bohr magnetons per cell.

```
NaCaAsO4
1.0
5.245 0.000 0.000
0.000 6.635 0.000
0.000 0.000 11.497
O Ca Na As
16 4 4 4
Direct
0.294 0.952 0.331 O
0.206 0.952 0.831 O
0.315 0.750 0.541 O
0.706 0.048 0.669 O
0.243 0.250 0.604 O
0.185 0.750 0.041 O
0.794 0.452 0.169 O
0.257 0.250 0.104 O
0.815 0.250 0.959 O
0.685 0.250 0.459 O
0.757 0.750 0.396 O
0.706 0.452 0.669 O
0.743 0.750 0.896 O
0.294 0.548 0.331 O
0.794 0.048 0.169 O
0.206 0.548 0.831 O
0.996 0.750 0.220 Ca
0.504 0.750 0.720 Ca
0.496 0.250 0.280 Ca
0.004 0.250 0.780 Ca
0.500 0.500 0.000 Na
0.500 0.000 0.000 Na
0.000 0.000 0.500 Na
0.000 0.500 0.500 Na
0.933 0.250 0.098 As
0.567 0.250 0.598 As
0.067 0.750 0.902 As
0.433 0.750 0.402 As
```

[11]
The following is a DFT calculation (SCAN) of NaCaAsO4 at its PBEsol-relaxed geometry.

Output
The value obtained for the energy above the most stable polymorph in this dataset is 23 meV per atom. As for the uncorrected formation energy: -2.2834 eV/atom. The value obtained for the calculated volume is 13.76 A^3/atom. As for the total energy: -10.711 eV/atom. For the magnetization, the calculation gives 0.000 Bohr magnetons per cell.

```
NaCaAsO4
1.0
5.469 -0.017 0.000
-2.344 4.941 0.000
0.000 0.000 7.140
Ca O As Na
2 8 2 2
Direct
0.000 0.000 0.500 Ca
0.000 0.000 0.000 Ca
0.776 0.698 0.750 O
0.224 0.302 0.250 O
0.698 0.776 0.250 O
0.302 0.224 0.750 O
0.243 0.757 0.444 O
0.757 0.243 0.556 O
0.243 0.757 0.056 O
0.757 0.243 0.944 O
0.348 0.652 0.250 As
0.652 0.348 0.750 As
0.679 0.321 0.250 Na
0.321 0.679 0.750 Na
```

[12]
The following is a DFT calculation (SCAN) of Ca3NiAs at its PBEsol-relaxed geometry.

Output
As for the formation enthalpy at 0 K: -0.11 eV/atom. The value obtained for the calculated volume is 32.12 A^3/atom. As for the total energy: -13.186 eV/atom. For the magnetization, the calculation gives 0.092 Bohr magnetons per cell.

```
Ca3NiAs
1.0
-3.755 -3.589 1.601
3.628 -2.316 3.319
-1.509 3.361 3.996
As Ca Ni
1 3 1
Direct
0.000 0.000 0.000 As
0.000 0.000 0.500 Ca
0.500 0.000 0.000 Ca
0.000 0.500 0.000 Ca
0.500 0.500 0.500 Ni
```

[13]
The following is a DFT calculation (SCAN) of CaNi2As at its PBEsol-relaxed geometry.

Output
As for the formation enthalpy at 0 K: -0.04 eV/atom. The value obtained for the calculated volume is 14.91 A^3/atom. As for the total energy: -15.594 eV/atom. For the magnetization, the calculation gives 0.000 Bohr magnetons per cell.

```
CaNi2As
1.0
-2.424 -1.151 2.739
1.714 -3.430 0.076
2.922 3.636 1.430
As Ni Ca
1 2 1
Direct
0.500 0.500 0.000 As
0.750 0.250 0.500 Ni
0.000 0.000 0.000 Ni
0.250 0.750 0.500 Ca
```

[14]
The following is a DFT calculation (SCAN) of CaNiAs2 at its PBEsol-relaxed geometry.

Output
As for the formation enthalpy at 0 K: -0.64 eV/atom. The value obtained for the calculated volume is 18.39 A^3/atom. As for the total energy: -17.199 eV/atom. For the magnetization, the calculation gives 0.000 Bohr magnetons per cell.

```
CaNiAs2
1.0
-2.162 -2.478 -1.952
3.644 0.561 -1.003
-0.067 -3.814 4.916
Ni Ca As
1 1 2
Direct
0.500 0.000 0.000 Ni
0.000 0.000 0.500 Ca
0.224 0.448 0.172 As
0.776 0.552 0.828 As
```

[15]
The following is a DFT calculation (SCAN) of CaNi2As at its PBEsol-relaxed geometry.

Output
As for the formation enthalpy at 0 K: 0.13 eV/atom. The value obtained for the calculated volume is 15.15 A^3/atom. As for the total energy: -15.423 eV/atom. For the magnetization, the calculation gives 0.001 Bohr magnetons per cell.

```
CaNi2As
1.0
2.885 0.000 0.000
-0.114 4.924 0.000
-1.386 -2.462 4.265
As Ni Ca
1 2 1
Direct
0.000 0.500 0.000 As
0.500 0.500 0.500 Ni
0.000 0.000 0.500 Ni
0.500 0.000 0.000 Ca
```

[16]
The following is a DFT calculation (SCAN) of CaNi2As at its PBEsol-relaxed geometry.

Output
As for the formation enthalpy at 0 K: -0.17 eV/atom. The value obtained for the calculated volume is 15.75 A^3/atom. As for the total energy: -15.720 eV/atom. For the magnetization, the calculation gives 0.000 Bohr magnetons per cell.

```
CaNi2As
1.0
-0.815 -2.743 1.350
2.997 -0.994 -0.209
1.203 2.436 5.677
Ni As Ca
2 1 1
Direct
0.500 0.500 0.258 Ni
0.000 0.000 0.057 Ni
0.000 0.000 0.419 As
0.500 0.500 0.765 Ca
```

[17]
The following is a DFT calculation (SCAN) of Ca2NiAs at its PBEsol-relaxed geometry.

Output
As for the formation enthalpy at 0 K: -0.42 eV/atom. The value obtained for the calculated volume is 20.71 A^3/atom. As for the total energy: -14.344 eV/atom. For the magnetization, the calculation gives 0.001 Bohr magnetons per cell.

```
Ca2NiAs
1.0
-1.642 -2.387 1.589
3.259 -1.237 1.511
-0.863 4.026 5.157
Ca Ni As
2 1 1
Direct
0.000 0.000 0.751 Ca
0.000 0.000 0.249 Ca
0.500 0.500 0.000 Ni
0.500 0.500 0.500 As
```

[18]
The following is a DFT calculation (SCAN) of Ca3Ni3As4O16 at its PBEsol-relaxed geometry.

Output
As for the uncorrected formation energy: -1.9057 eV/atom. The value obtained for the calculated volume is 12.97 A^3/atom. As for the total energy: -11.828 eV/atom. For the magnetization, the calculation gives 8.178 Bohr magnetons per cell.

```
Ca3Ni3As4O16
1.0
-0.274 -4.132 2.722
0.000 -4.920 -7.471
15.192 0.310 2.001
O As Ni Ca
32 8 6 6
Direct
0.626 0.981 0.088 O
0.078 0.751 0.003 O
0.422 0.251 0.503 O
0.723 0.010 0.420 O
0.975 0.554 0.762 O
0.223 0.490 0.080 O
0.596 0.292 0.159 O
0.795 0.076 0.597 O
0.874 0.481 0.588 O
0.122 0.753 0.186 O
0.404 0.708 0.841 O
0.374 0.019 0.912 O
0.371 0.623 0.643 O
0.904 0.792 0.659 O
0.922 0.249 0.997 O
0.205 0.924 0.403 O
0.878 0.247 0.814 O
0.378 0.253 0.686 O
0.129 0.123 0.143 O
0.277 0.990 0.580 O
0.525 0.054 0.262 O
0.096 0.208 0.341 O
0.578 0.749 0.497 O
0.777 0.510 0.920 O
0.475 0.946 0.738 O
0.705 0.576 0.097 O
0.871 0.877 0.857 O
0.622 0.747 0.314 O
0.126 0.519 0.412 O
0.025 0.446 0.238 O
0.629 0.377 0.357 O
0.295 0.424 0.903 O
0.476 0.113 0.159 As
0.475 0.156 0.591 As
0.024 0.613 0.659 As
0.025 0.656 0.091 As
0.524 0.887 0.841 As
0.525 0.844 0.409 As
0.976 0.387 0.341 As
0.975 0.344 0.909 As
0.000 0.000 0.500 Ni
0.964 0.330 0.122 Ni
0.500 0.500 0.000 Ni
0.536 0.830 0.622 Ni
0.464 0.170 0.378 Ni
0.036 0.670 0.878 Ni
0.530 0.465 0.771 Ca
0.470 0.535 0.229 Ca
0.000 0.000 0.000 Ca
0.970 0.965 0.271 Ca
0.030 0.035 0.729 Ca
0.500 0.500 0.500 Ca
```

[19]
The following is a DFT calculation (SCAN) of CaNiAsO5 at its PBEsol-relaxed geometry.

Output
As for the uncorrected formation energy: -1.8947 eV/atom. The value obtained for the calculated volume is 11.72 A^3/atom. As for the total energy: -11.543 eV/atom. For the magnetization, the calculation gives 4.041 Bohr magnetons per cell.

```
CaNiAsO5
1.0
5.789 0.000 0.000
0.000 7.476 0.000
0.000 0.000 8.663
Ca O As Ni
4 20 4 4
Direct
0.031 0.344 0.835 Ca
0.469 0.656 0.335 Ca
0.969 0.844 0.665 Ca
0.531 0.156 0.165 Ca
0.261 0.909 0.181 O
0.239 0.091 0.681 O
0.000 0.871 0.927 O
0.079 0.730 0.421 O
0.579 0.770 0.579 O
0.753 0.873 0.204 O
0.247 0.373 0.296 O
0.500 0.629 0.073 O
0.000 0.371 0.573 O
0.421 0.270 0.921 O
0.253 0.627 0.796 O
0.500 0.129 0.427 O
0.488 0.413 0.589 O
0.739 0.409 0.319 O
0.512 0.913 0.911 O
0.988 0.087 0.411 O
0.761 0.591 0.819 O
0.012 0.587 0.089 O
0.747 0.127 0.704 O
0.921 0.230 0.079 O
0.517 0.602 0.704 As
0.483 0.102 0.796 As
0.017 0.898 0.296 As
0.983 0.398 0.204 As
0.756 0.745 0.004 Ni
0.256 0.755 0.996 Ni
0.244 0.245 0.496 Ni
0.744 0.255 0.504 Ni
```

[20]
The following is a DFT calculation (SCAN) of CaNiAs2Se at its PBEsol-relaxed geometry.

Output
As for the uncorrected formation energy: -0.3547 eV/atom. The value obtained for the calculated volume is 20.87 A^3/atom. As for the total energy: -17.614 eV/atom. For the magnetization, the calculation gives 0.001 Bohr magnetons per cell.

```
CaNiAs2Se
1.0
-3.064 -3.235 0.629
0.993 -1.726 -4.036
3.598 -2.987 2.163
Ni Ca As Se
1 1 2 1
Direct
0.000 0.000 0.000 Ni
0.500 0.500 0.500 Ca
0.500 0.000 0.000 As
0.000 0.500 0.000 As
0.000 0.000 0.500 Se
```